Below is a relaxed ScCoGe2 crystal, with properties calculated at the PBE level.

calculated total energy: -23.303 eV for the cell shown
space-group type: No. 216
magnetic moment: 0.00 μB per cell
theoretical density: 6.5 Mg/m³

```
ScCoGe2
1.0
0.000 3.167 3.167
3.167 0.000 3.167
3.167 3.167 0.000
Ge Co Sc
2 1 1
Cartesian
0.000 0.000 0.000
4.751 4.751 4.751
1.584 1.584 1.584
3.167 3.167 3.167
```